Entry 1:
# Pr2Y7Tm

A geometry-optimized Pr2Y7Tm structure (PBE, Alexandria).

Output
magnetic moment	0.00	μB/f.u.
volume	33.63	Å³/atom
DFT formation energy	157	meV per atom
DOS(E_F)	16.2	states/eV/f.u.
E above lowest polymorph	137	meV per atom

Unit cell a=3.526 b=14.909 c=14.909 alpha=154.60 beta=90.00 gamma=90.00
Element x y z (fractional)
Tm: 0.000 0.000 0.000
Y: 0.500 0.658 0.852
Y: 0.500 0.500 0.500
Pr: 0.500 0.293 0.707
Pr: 0.500 0.707 0.293
Y: 0.000 0.185 0.815
Y: 0.000 0.815 0.185
Y: 0.500 0.148 0.342
Y: 0.500 0.852 0.658
Y: 0.500 0.342 0.148

Entry 2:
# PrY6Tm8

A geometry-optimized PrY6Tm8 structure (PBE, Alexandria).

Output
magnetic moment	0.00	μB/f.u.
volume	31.91	Å³/atom
DFT formation energy	133	meV per atom
DOS(E_F)	23.1	states/eV/f.u.
E above lowest polymorph	0	meV per atom

Unit cell a=9.000 b=9.000 c=8.576 alpha=58.35 beta=58.35 gamma=60.00
Element x y z (fractional)
Y: 0.538 0.109 0.124
Tm: 0.890 0.256 0.573
Y: 0.772 0.462 0.876
Y: 0.462 0.891 0.876
Y: 0.109 0.228 0.124
Y: 0.228 0.538 0.124
Tm: 0.281 0.890 0.573
Tm: 0.576 0.576 0.272
Tm: 0.110 0.744 0.427
Tm: 0.424 0.424 0.728
Tm: 0.719 0.110 0.427
Tm: 0.256 0.281 0.573
Y: 0.891 0.772 0.876
Pr: 0.000 0.000 0.000
Tm: 0.744 0.719 0.427

Entry 3:
# PrY4Tm

A geometry-optimized PrY4Tm structure (PBE, Alexandria).

Output
magnetic moment	0.00	μB/f.u.
volume	32.32	Å³/atom
DFT formation energy	67	meV per atom
DOS(E_F)	9.4	states/eV/f.u.
E above lowest polymorph	0	meV per atom

Unit cell a=9.832 b=5.681 c=8.968 alpha=129.25 beta=90.00 gamma=90.00
Element x y z (fractional)
Pr: 0.000 0.000 0.000
Y: 0.333 0.255 0.255
Y: 0.667 0.745 0.745
Y: 0.667 0.254 0.255
Y: 0.167 0.755 0.255
Tm: 0.000 0.500 0.500
Y: 0.333 0.746 0.745
Y: 0.833 0.245 0.745
Pr: 0.500 0.500 0.000
Y: 0.167 0.246 0.745
Y: 0.833 0.754 0.255
Tm: 0.500 0.000 0.500

Entry 4:
# PrYTm2

A geometry-optimized PrYTm2 structure (PBE, Alexandria).

Output
magnetic moment	0.00	μB/f.u.
volume	32.09	Å³/atom
DFT formation energy	29	meV per atom
DOS(E_F)	6.2	states/eV/f.u.
E above lowest polymorph	22	meV per atom

Unit cell a=5.017 b=5.058 c=5.058 alpha=90.00 beta=90.00 gamma=90.00
Element x y z (fractional)
Y: 0.500 0.000 0.000
Tm: 0.000 0.000 0.500
Tm: 0.000 0.500 0.000
Pr: 0.500 0.500 0.500